1.
Computed, not measured: a relaxed Tb2Y2O5 crystal at the GGA-PBEsol level of DFT.

Structure (POSCAR):
```
Tb2Y2O5
1.0
-1.515 3.297 1.239
-2.386 -1.953 2.278
6.605 0.329 7.200
O Y Tb
5 2 2
Direct
0.500 0.000 0.860
0.000 0.500 0.140
0.000 0.500 0.860
0.500 0.500 0.500
0.500 0.000 0.140
0.000 0.000 0.000
0.000 0.000 0.500
0.500 0.500 0.239
0.500 0.500 0.761
```

Properties
DOS at the Fermi energy	2.28	states/eV per cell
volume	15.963	A^3/atom
magnetization	1.4	μB per cell
energy relative to the elements, uncorrected	-2928	meV per atom

---

2.
Computed, not measured: a relaxed Tb2Zr2O7 crystal at the GGA-PBEsol level of DFT.

Structure (POSCAR):
```
Tb2Zr2O7
1.0
5.376 0.000 0.000
0.000 10.324 0.000
0.000 0.000 10.324
Zr Tb O
8 8 28
Direct
0.250 0.139 0.639
0.250 0.361 0.861
0.750 0.639 0.861
0.750 0.861 0.639
0.250 0.639 0.139
0.250 0.861 0.361
0.750 0.139 0.361
0.750 0.361 0.139
0.750 0.125 0.875
0.250 0.625 0.625
0.250 0.875 0.875
0.750 0.625 0.375
0.250 0.375 0.375
0.750 0.375 0.625
0.250 0.125 0.125
0.750 0.875 0.125
0.483 0.750 0.250
0.017 0.250 0.750
0.000 0.213 0.500
0.500 0.500 0.787
0.500 0.213 0.500
0.500 0.000 0.713
0.500 0.000 0.287
0.000 0.500 0.787
0.500 0.500 0.213
0.017 0.750 0.250
0.500 0.000 0.000
0.000 0.000 0.000
0.000 0.000 0.713
0.483 0.250 0.750
0.000 0.787 0.500
0.500 0.787 0.500
0.500 0.500 0.500
0.517 0.750 0.750
0.500 0.713 0.000
0.983 0.750 0.750
0.000 0.287 0.000
0.000 0.500 0.213
0.000 0.500 0.500
0.517 0.250 0.250
0.983 0.250 0.250
0.500 0.287 0.000
0.000 0.000 0.287
0.000 0.713 0.000
```

Properties
DOS at the Fermi energy	0.00	states/eV per cell
volume	13.024	A^3/atom
magnetization	0.0	μB per cell
energy relative to the elements, uncorrected	-3501	meV per atom